Entry 1:
Th2Te2Se: relaxed, PBE.

Density of states at the Fermi level, states/eV/atom: 0.916
E above lowest polymorph, meV per atom: 22
Formation energy without anion corrections, meV/atom: -1216
SG: Cmc2_1, No. 36

Lattice parameters (Å, degrees): 9.282 9.282 8.161 90.00 90.00 152.97
Positions (direct):
1 Th 0.055 0.945 0.500
2 Th 0.306 0.694 0.437
3 Th 0.694 0.306 0.937
4 Th 0.945 0.055 0.000
5 Te 0.311 0.689 0.045
6 Te 0.443 0.557 0.694
7 Te 0.557 0.443 0.194
8 Te 0.689 0.311 0.545
9 Se 0.093 0.907 0.850
10 Se 0.907 0.093 0.350


Entry 2:
Th2TeSe3: relaxed, PBE.

E above lowest polymorph, meV per atom: 96
Formation energy without anion corrections, meV/atom: -1468
SG: C2/m, No. 12

Lattice parameters (Å, degrees): 9.238 9.238 11.782 126.42 126.42 29.71
Positions (direct):
1 Th 0.034 0.034 0.241
2 Th 0.258 0.258 0.812
3 Th 0.742 0.742 0.188
4 Th 0.966 0.966 0.759
5 Te 0.370 0.370 0.169
6 Te 0.630 0.630 0.831
7 Se 0.105 0.105 0.528
8 Se 0.120 0.120 0.081
9 Se 0.355 0.355 0.679
10 Se 0.645 0.645 0.321
11 Se 0.880 0.880 0.919
12 Se 0.895 0.895 0.472


Entry 3:
Th4Te5Se: relaxed, PBE.

Density of states at the Fermi level, states/eV/atom: 0.420
Formation energy without anion corrections, meV/atom: -1236
SG: C2/m, No. 12

Lattice parameters (Å, degrees): 9.806 9.806 8.677 102.51 102.51 25.75
Positions (direct):
1 Th 0.001 0.001 0.267
2 Th 0.341 0.341 0.418
3 Th 0.659 0.659 0.582
4 Th 0.999 0.999 0.733
5 Te 0.167 0.167 0.841
6 Te 0.171 0.171 0.318
7 Te 0.500 0.500 0.000
8 Te 0.829 0.829 0.682
9 Te 0.833 0.833 0.159
10 Se 0.500 0.500 0.500


The records above give, respectively, calculated total energy values of -61.4, -74.5, -61.2 eV/cell.